DFT (GGA-PBE) results for crystalline Zn12Ag5Pt2 at its relaxed geometry.

## Properties
Calculated density   8.44 g/cm³
Total magnetization   0.00 μB per cell
Formation energy from the elements   -0.001 eV/atom
Uncorrected energy   -41.651 eV per cell
Space-group type   C2/m (12)

Lattice parameters (Å, degrees): 7.262 7.262 9.440 101.93 101.93 44.03
Sites, in units of the cell vectors:
Zn (0.009, 0.009, 0.252)
Zn (0.083, 0.575, 0.818)
Zn (0.090, 0.616, 0.340)
Zn (0.384, 0.910, 0.660)
Zn (0.425, 0.917, 0.182)
Zn (0.475, 0.475, 0.214)
Zn (0.525, 0.525, 0.786)
Zn (0.575, 0.083, 0.818)
Zn (0.616, 0.090, 0.340)
Zn (0.910, 0.384, 0.660)
Zn (0.917, 0.425, 0.182)
Zn (0.991, 0.991, 0.748)
Ag (0.190, 0.190, 0.936)
Ag (0.207, 0.207, 0.442)
Ag (0.500, 0.500, 0.500)
Ag (0.793, 0.793, 0.558)
Ag (0.810, 0.810, 0.064)
Pt (0.246, 0.754, 0.000)
Pt (0.754, 0.246, 0.000)